w | First-principles (GGA-PBE) data for crystalline CdTe2SN at its relaxed geometry, as listed in Alexandria via LeMat-Bulk.

Summary:
The volume is 23.9 A^3/atom. The density of states at the Fermi level comes out at 1.7 states/eV per cell. As for the crystal system: tetragonal.

a = 6.0661 Å, b = 6.0661 Å, c = 3.2501 Å
α = 90.00°, β = 90.00°, γ = 90.00°
With the nearest neighbours (Å) after each atom.
Positions (direct):
1 Te 0.0000 0.5000 0.0000  2 S 3.03, 2 Te 3.25
2 N 0.0000 0.0000 0.5000  2 S 1.63
3 Te 0.5000 0.0000 0.0000  2 S 3.03, 2 Te 3.25
4 Cd 0.5000 0.5000 0.5000  2 Cd 3.25, 8 Te 3.44
5 S 0.0000 0.0000 0.0000  2 N 1.63



x | First-principles (GGA-PBE) data for crystalline CdTe2SN at its relaxed geometry, as listed in Alexandria via LeMat-Bulk.

Summary:
The volume is 26.4 A^3/atom. The density of states at the Fermi level comes out at 4.7 states/eV per cell. As for the crystal system: tetragonal.

a = 5.7079 Å, b = 5.7079 Å, c = 4.0582 Å
α = 90.00°, β = 90.00°, γ = 90.00°
With the nearest neighbours (Å) after each atom.
Positions (direct):
1 Cd 0.0000 0.0000 0.0000  2 N 2.03
2 Te 0.5000 0.0000 0.0000  2 Cd 2.85
3 S 0.5000 0.5000 0.5000  8 Te 3.50
4 N 0.0000 0.0000 0.5000  2 Cd 2.03
5 Te 0.0000 0.5000 0.0000  2 Cd 2.85



It is x that is the least stable of them.



w | First-principles (GGA-PBE) data for crystalline CdTeSN2 at its relaxed geometry, as listed in Alexandria via LeMat-Bulk.

Summary:
The volume is 23.5 A^3/atom. The density of states at the Fermi level comes out at 2.7 states/eV per cell. As for the crystal system: tetragonal.

a = 4.1735 Å, b = 4.1735 Å, c = 6.7509 Å
α = 90.00°, β = 90.00°, γ = 90.00°
With the nearest neighbours (Å) after each atom.
Positions (direct):
1 Cd 0.0000 0.0000 0.0000  4 N 2.09
2 Te 0.0000 0.0000 0.5000  4 S 2.95
3 S 0.5000 0.5000 0.5000  4 Te 2.95
4 N 0.0000 0.5000 0.0000  2 Cd 2.09
5 N 0.5000 0.0000 0.0000  2 Cd 2.09



x | First-principles (GGA-PBE) data for crystalline CdTeSN2 at its relaxed geometry, as listed in Alexandria via LeMat-Bulk.

Summary:
The volume is 17.2 A^3/atom. The density of states at the Fermi level comes out at 3.3 states/eV per cell. As for the crystal system: tetragonal.

a = 3.9601 Å, b = 3.9601 Å, c = 5.4859 Å
α = 90.00°, β = 90.00°, γ = 90.00°
With the nearest neighbours (Å) after each atom.
Positions (direct):
1 N 0.5000 0.0000 0.0000  2 S 1.98
2 N 0.0000 0.5000 0.0000  2 S 1.98
3 Cd 0.5000 0.5000 0.5000  4 Te 2.80
4 Te 0.0000 0.0000 0.5000  2 S 2.74, 4 Cd 2.80
5 S 0.0000 0.0000 0.0000  4 N 1.98



y | First-principles (GGA-PBE) data for crystalline CdTeSN2 at its relaxed geometry, as listed in Alexandria via LeMat-Bulk.

Summary:
The volume is 21.3 A^3/atom. The density of states at the Fermi level comes out at 2.8 states/eV per cell. As for the crystal system: tetragonal.

a = 4.2303 Å, b = 4.2303 Å, c = 5.9487 Å
α = 90.00°, β = 90.00°, γ = 90.00°
With the nearest neighbours (Å) after each atom.
Positions (direct):
1 N 0.0000 0.5000 0.0000  2 Cd 2.12
2 S 0.0000 0.0000 0.5000  2 Cd 2.97, 4 Te 2.99
3 Cd 0.0000 0.0000 0.0000  4 N 2.12
4 Te 0.5000 0.5000 0.5000  4 S 2.99
5 N 0.5000 0.0000 0.0000  2 Cd 2.12



z | First-principles (GGA-PBE) data for crystalline CdTeSN2 at its relaxed geometry, as listed in Alexandria via LeMat-Bulk.

Summary:
The volume is 17.6 A^3/atom. The density of states at the Fermi level comes out at 0.9 states/eV per cell. As for the crystal system: tetragonal.

a = 3.9542 Å, b = 3.9542 Å, c = 5.6149 Å
α = 90.00°, β = 90.00°, γ = 90.00°
With the nearest neighbours (Å) after each atom.
Positions (direct):
1 Te 0.0000 0.0000 0.0000  4 N 1.98
2 S 0.0000 0.0000 0.5000  4 Cd 2.80, 2 Te 2.81
3 N 0.0000 0.5000 0.0000  2 Te 1.98
4 Cd 0.5000 0.5000 0.5000  4 S 2.80
5 N 0.5000 0.0000 0.0000  2 Te 1.98



It is w that is the least stable of them.



w | First-principles (GGA-PBE) data for crystalline TiCdSN2 at its relaxed geometry, as listed in Alexandria via LeMat-Bulk.

Summary:
The volume is 17.3 A^3/atom. The density of states at the Fermi level comes out at 5.4 states/eV per cell. As for the crystal system: tetragonal.

a = 4.0917 Å, b = 4.0917 Å, c = 5.1806 Å
α = 90.00°, β = 90.00°, γ = 90.00°
With the nearest neighbours (Å) after each atom.
Positions (direct):
1 S 0.0000 0.0000 0.5000  2 Cd 2.59, 4 Ti 2.89
2 N 0.5000 0.0000 0.0000  2 Cd 2.05
3 Cd 0.0000 0.0000 0.0000  4 N 2.05
4 Ti 0.5000 0.5000 0.5000  4 S 2.89
5 N 0.0000 0.5000 0.0000  2 Cd 2.05



x | First-principles (GGA-PBE) data for crystalline TiCdSN2 at its relaxed geometry, as listed in Alexandria via LeMat-Bulk.

Summary:
The volume is 15.9 A^3/atom. The density of states at the Fermi level comes out at 2.5 states/eV per cell. As for the crystal system: tetragonal.

a = 3.8594 Å, b = 3.8594 Å, c = 5.3359 Å
α = 90.00°, β = 90.00°, γ = 90.00°
With the nearest neighbours (Å) after each atom.
Positions (direct):
1 N 0.0000 0.5000 0.0000  2 Ti 1.93
2 S 0.0000 0.0000 0.5000  2 Ti 2.67, 4 Cd 2.73
3 N 0.5000 0.0000 0.0000  2 Ti 1.93
4 Cd 0.5000 0.5000 0.5000  4 S 2.73
5 Ti 0.0000 0.0000 0.0000  4 N 1.93



It is w that is the least stable of them.



w | First-principles (GGA-PBE) data for crystalline TlCdSN2 at its relaxed geometry, as listed in Alexandria via LeMat-Bulk.

Summary:
The volume is 21.2 A^3/atom. The density of states at the Fermi level comes out at 2.0 states/eV per cell. As for the crystal system: tetragonal.

a = 4.2944 Å, b = 4.2944 Å, c = 5.7515 Å
α = 90.00°, β = 90.00°, γ = 90.00°
With the nearest neighbours (Å) after each atom.
Positions (direct):
1 Tl 0.0000 0.0000 0.0000  4 N 2.15
2 S 0.0000 0.0000 0.5000  2 Tl 2.88, 4 Cd 3.04
3 N 0.0000 0.5000 0.0000  2 Tl 2.15
4 N 0.5000 0.0000 0.0000  2 Tl 2.15
5 Cd 0.5000 0.5000 0.5000  4 S 3.04



x | First-principles (GGA-PBE) data for crystalline TlCdSN2 at its relaxed geometry, as listed in Alexandria via LeMat-Bulk.

Summary:
The volume is 21.2 A^3/atom. The density of states at the Fermi level comes out at 4.0 states/eV per cell. As for the crystal system: tetragonal.

a = 4.4125 Å, b = 4.4125 Å, c = 5.4418 Å
α = 90.00°, β = 90.00°, γ = 90.00°
With the nearest neighbours (Å) after each atom.
Positions (direct):
1 Cd 0.0000 0.0000 0.0000  4 N 2.21
2 Tl 0.5000 0.5000 0.5000  4 S 3.12
3 N 0.0000 0.5000 0.0000  2 Cd 2.21
4 S 0.0000 0.0000 0.5000  2 Cd 2.72
5 N 0.5000 0.0000 0.0000  2 Cd 2.21



It is w that is the least stable of them.